(1)
Density functional theory data (PBE) for an optimized crystal structure of La2As2H4Ru.

Cell and atoms, written as CIF:
```
data_La2As2H4Ru
_chemical_formula_sum 'La2 As2 H4 Ru1'
_symmetry_space_group_name_H-M 'P 1'
_symmetry_Int_Tables_number 1
_cell_length_a 5.7189
_cell_length_b 5.7189
_cell_length_c 5.7189
_cell_angle_alpha 117.50
_cell_angle_beta 117.50
_cell_angle_gamma 94.38
loop_
_symmetry_equiv_pos_as_xyz
'x,y,z'
loop_
_atom_site_label
_atom_site_fract_x
_atom_site_fract_y
_atom_site_fract_z
_atom_site_occupancy
La1 0.2500 0.7500 0.5000 1
La2 0.7500 0.2500 0.5000 1
As1 0.1740 0.1740 0.0000 1
As2 0.8260 0.8260 0.0000 1
H1 0.2941 0.2941 0.5881 1
H2 0.2941 0.7059 0.0000 1
H3 0.7059 0.2941 0.0000 1
H4 0.7059 0.7059 0.4119 1
Ru1 0.5000 0.5000 0.0000 1
```

Computed properties:
- symmetry = I4/mmm
- magnetization (μB per cell) = 0.00
- density of states at the Fermi level (states/eV/cell) = 5.186
- energy (eV per formula unit) = -46.4

(2)
Density functional theory data (PBE) for an optimized crystal structure of Sn3S3Cl.

Cell and atoms, written as CIF:
```
data_Sn3S3Cl
_chemical_formula_sum 'Sn6 S6 Cl2'
_symmetry_space_group_name_H-M 'P 1'
_symmetry_Int_Tables_number 1
_cell_length_a 7.5344
_cell_length_b 7.5344
_cell_length_c 7.5344
_cell_angle_alpha 72.31
_cell_angle_beta 72.31
_cell_angle_gamma 72.31
loop_
_symmetry_equiv_pos_as_xyz
'x,y,z'
loop_
_atom_site_label
_atom_site_fract_x
_atom_site_fract_y
_atom_site_fract_z
_atom_site_occupancy
Sn1 0.0458 0.4157 0.7682 1
Sn2 0.2318 0.9542 0.5843 1
Sn3 0.4157 0.7682 0.0458 1
Sn4 0.5843 0.2318 0.9542 1
Sn5 0.7682 0.0458 0.4157 1
Sn6 0.9542 0.5843 0.2318 1
S1 0.1108 0.8133 0.3546 1
S2 0.1867 0.6454 0.8892 1
S3 0.3546 0.1108 0.8133 1
S4 0.6454 0.8892 0.1867 1
S5 0.8133 0.3546 0.1108 1
S6 0.8892 0.1867 0.6454 1
Cl1 0.3151 0.3151 0.3151 1
Cl2 0.6849 0.6849 0.6849 1
```

Computed properties:
- symmetry = R-3
- uncorrected formation energy (eV/atom) = -0.451
- magnetization (μB per cell) = 0.00
- density of states at the Fermi level (states/eV/cell) = 5.806

(3)
Density functional theory data (PBE) for an optimized crystal structure of La3SnC.

Cell and atoms, written as CIF:
```
data_La3SnC
_chemical_formula_sum 'La6 Sn2 C2'
_symmetry_space_group_name_H-M 'P 1'
_symmetry_Int_Tables_number 1
_cell_length_a 8.8368
_cell_length_b 8.0420
_cell_length_c 6.4164
_cell_angle_alpha 74.40
_cell_angle_beta 61.23
_cell_angle_gamma 44.37
loop_
_symmetry_equiv_pos_as_xyz
'x,y,z'
loop_
_atom_site_label
_atom_site_fract_x
_atom_site_fract_y
_atom_site_fract_z
_atom_site_occupancy
La1 0.0000 0.5000 0.0000 1
La2 0.1277 0.6274 0.3726 1
La3 0.3726 0.8723 0.1277 1
La4 0.5000 0.0000 0.5000 1
La5 0.6274 0.1277 0.8723 1
La6 0.8723 0.3726 0.6274 1
Sn1 0.2494 0.7506 0.7506 1
Sn2 0.7506 0.2494 0.2494 1
C1 0.2500 0.2500 0.2500 1
C2 0.7500 0.7500 0.7500 1
```

Computed properties:
- symmetry = Fmmm
- magnetization (μB per cell) = 0.00
- density of states at the Fermi level (states/eV/cell) = 8.519
- energy (eV per formula unit) = -30.1

(4)
Density functional theory data (PBE) for an optimized crystal structure of NdNbBi.

Cell and atoms, written as CIF:
```
data_NdNbBi
_chemical_formula_sum 'Nd2 Nb2 Bi2'
_symmetry_space_group_name_H-M 'P 1'
_symmetry_Int_Tables_number 1
_cell_length_a 3.6411
_cell_length_b 3.6411
_cell_length_c 11.9950
_cell_angle_alpha 90.00
_cell_angle_beta 90.00
_cell_angle_gamma 90.00
loop_
_symmetry_equiv_pos_as_xyz
'x,y,z'
loop_
_atom_site_label
_atom_site_fract_x
_atom_site_fract_y
_atom_site_fract_z
_atom_site_occupancy
Nd1 0.2500 0.2500 0.1131 1
Nd2 0.7500 0.7500 0.8869 1
Nb1 0.2500 0.2500 0.4429 1
Nb2 0.7500 0.7500 0.5571 1
Bi1 0.2500 0.2500 0.6962 1
Bi2 0.7500 0.7500 0.3038 1
```

Computed properties:
- symmetry = P4/nmm
- magnetization (μB per cell) = 0.00
- density of states at the Fermi level (states/eV/cell) = 5.049
- energy (eV per formula unit) = -19.0

(5)
Density functional theory data (PBE) for an optimized crystal structure of MnZn6Rh.

Cell and atoms, written as CIF:
```
data_MnZn6Rh
_chemical_formula_sum 'Mn1 Zn6 Rh1'
_symmetry_space_group_name_H-M 'P 1'
_symmetry_Int_Tables_number 1
_cell_length_a 4.4379
_cell_length_b 4.4379
_cell_length_c 7.1812
_cell_angle_alpha 101.58
_cell_angle_beta 101.58
_cell_angle_gamma 73.95
loop_
_symmetry_equiv_pos_as_xyz
'x,y,z'
loop_
_atom_site_label
_atom_site_fract_x
_atom_site_fract_y
_atom_site_fract_z
_atom_site_occupancy
Mn1 0.0000 0.0000 0.0000 1
Zn1 0.0539 0.5507 0.6909 1
Zn2 0.3859 0.3859 0.1049 1
Zn3 0.4493 0.9461 0.3091 1
Zn4 0.5507 0.0539 0.6909 1
Zn5 0.6141 0.6141 0.8951 1
Zn6 0.9461 0.4493 0.3091 1
Rh1 0.5000 0.5000 0.5000 1
```

Computed properties:
- symmetry = C2/m
- E above lowest polymorph (eV per atom) = 0.1889
- magnetization (μB per cell) = 3.81
- density of states at the Fermi level (states/eV/cell) = 3.881

(6)
Density functional theory data (PBE) for an optimized crystal structure of NiOsCl2.

Cell and atoms, written as CIF:
```
data_NiOsCl2
_chemical_formula_sum 'Ni1 Os1 Cl2'
_symmetry_space_group_name_H-M 'P 1'
_symmetry_Int_Tables_number 1
_cell_length_a 8.2193
_cell_length_b 8.2193
_cell_length_c 4.0906
_cell_angle_alpha 103.31
_cell_angle_beta 103.31
_cell_angle_gamma 19.96
loop_
_symmetry_equiv_pos_as_xyz
'x,y,z'
loop_
_atom_site_label
_atom_site_fract_x
_atom_site_fract_y
_atom_site_fract_z
_atom_site_occupancy
Ni1 0.0000 0.0000 0.0000 1
Os1 0.5000 0.5000 0.5000 1
Cl1 0.3573 0.3573 0.3682 1
Cl2 0.6427 0.6427 0.6318 1
```

Computed properties:
- symmetry = C2/m
- E above lowest polymorph (eV per atom) = 0.0877
- uncorrected formation energy (eV/atom) = 0.294
- magnetization (μB per cell) = 0.00
- density of states at the Fermi level (states/eV/cell) = 4.448

(7)
Density functional theory data (PBE) for an optimized crystal structure of Hg2OsSe.

Cell and atoms, written as CIF:
```
data_Hg2OsSe
_chemical_formula_sum 'Hg2 Os1 Se1'
_symmetry_space_group_name_H-M 'P 1'
_symmetry_Int_Tables_number 1
_cell_length_a 6.9197
_cell_length_b 6.9197
_cell_length_c 6.9197
_cell_angle_alpha 154.72
_cell_angle_beta 139.95
_cell_angle_gamma 47.95
loop_
_symmetry_equiv_pos_as_xyz
'x,y,z'
loop_
_atom_site_label
_atom_site_fract_x
_atom_site_fract_y
_atom_site_fract_z
_atom_site_occupancy
Hg1 0.0000 0.0000 0.0000 1
Hg2 0.6690 0.1690 0.5000 1
Os1 0.1953 0.6953 0.5000 1
Se1 0.3467 0.3467 0.0000 1
```

Computed properties:
- symmetry = Imm2
- uncorrected formation energy (eV/atom) = 0.389
- magnetization (μB per cell) = 0.00
- density of states at the Fermi level (states/eV/cell) = 4.162

(8)
Density functional theory data (PBE) for an optimized crystal structure of Mg4HgPb.

Cell and atoms, written as CIF:
```
data_Mg4HgPb
_chemical_formula_sum 'Mg4 Hg1 Pb1'
_symmetry_space_group_name_H-M 'P 1'
_symmetry_Int_Tables_number 1
_cell_length_a 5.9291
_cell_length_b 5.9291
_cell_length_c 5.9291
_cell_angle_alpha 60.00
_cell_angle_beta 60.00
_cell_angle_gamma 60.00
loop_
_symmetry_equiv_pos_as_xyz
'x,y,z'
loop_
_atom_site_label
_atom_site_fract_x
_atom_site_fract_y
_atom_site_fract_z
_atom_site_occupancy
Mg1 0.1252 0.1252 0.1252 1
Mg2 0.1252 0.1252 0.6245 1
Mg3 0.1252 0.6245 0.1252 1
Mg4 0.6245 0.1252 0.1252 1
Hg1 0.5000 0.5000 0.5000 1
Pb1 0.7500 0.7500 0.7500 1
```

Computed properties:
- symmetry = F-43m
- E above lowest polymorph (eV per atom) = 0.1238
- magnetization (μB per cell) = 0.00
- density of states at the Fermi level (states/eV/cell) = 5.324

(9)
Density functional theory data (PBE) for an optimized crystal structure of Mn4Cu9Pd11.

Cell and atoms, written as CIF:
```
data_Mn4Cu9Pd11
_chemical_formula_sum 'Mn4 Cu9 Pd11'
_symmetry_space_group_name_H-M 'P 1'
_symmetry_Int_Tables_number 1
_cell_length_a 11.1067
_cell_length_b 11.1067
_cell_length_c 2.8859
_cell_angle_alpha 90.00
_cell_angle_beta 90.00
_cell_angle_gamma 106.21
loop_
_symmetry_equiv_pos_as_xyz
'x,y,z'
loop_
_atom_site_label
_atom_site_fract_x
_atom_site_fract_y
_atom_site_fract_z
_atom_site_occupancy
Mn1 0.0771 0.2431 0.0000 1
Mn2 0.2431 0.0771 0.0000 1
Mn3 0.7569 0.9229 0.0000 1
Mn4 0.9229 0.7569 0.0000 1
Cu1 0.0000 0.0000 0.0000 1
Cu2 0.1065 0.6538 0.0000 1
Cu3 0.3026 0.4920 0.0000 1
Cu4 0.3462 0.8935 0.0000 1
Cu5 0.4920 0.3026 0.0000 1
Cu6 0.5080 0.6974 0.0000 1
Cu7 0.6538 0.1065 0.0000 1
Cu8 0.6974 0.5080 0.0000 1
Cu9 0.8935 0.3462 0.0000 1
Pd1 0.0997 0.4473 0.5000 1
Pd2 0.1327 0.8673 0.5000 1
Pd3 0.2852 0.2852 0.5000 1
Pd4 0.3087 0.6913 0.5000 1
Pd5 0.4473 0.0997 0.5000 1
Pd6 0.5000 0.5000 0.5000 1
Pd7 0.5527 0.9003 0.5000 1
Pd8 0.6913 0.3087 0.5000 1
Pd9 0.7148 0.7148 0.5000 1
Pd10 0.8673 0.1327 0.5000 1
Pd11 0.9003 0.5527 0.5000 1
```

Computed properties:
- symmetry = Cmmm
- magnetization (μB per cell) = 18.39
- density of states at the Fermi level (states/eV/cell) = 8.328
- energy (eV per formula unit) = -133.3

(10)
Density functional theory data (PBE) for an optimized crystal structure of CuTeMo2.

Cell and atoms, written as CIF:
```
data_CuTeMo2
_chemical_formula_sum 'Cu1 Te1 Mo2'
_symmetry_space_group_name_H-M 'P 1'
_symmetry_Int_Tables_number 1
_cell_length_a 4.8216
_cell_length_b 4.8216
_cell_length_c 4.6609
_cell_angle_alpha 100.10
_cell_angle_beta 100.10
_cell_angle_gamma 39.71
loop_
_symmetry_equiv_pos_as_xyz
'x,y,z'
loop_
_atom_site_label
_atom_site_fract_x
_atom_site_fract_y
_atom_site_fract_z
_atom_site_occupancy
Cu1 0.0000 0.0000 0.0000 1
Te1 0.5000 0.5000 0.5000 1
Mo1 0.2557 0.2557 0.7885 1
Mo2 0.7443 0.7443 0.2115 1
```

Computed properties:
- symmetry = C2/m
- uncorrected formation energy (eV/atom) = 0.410
- magnetization (μB per cell) = 0.00
- density of states at the Fermi level (states/eV/cell) = 2.109

(11)
Density functional theory data (PBE) for an optimized crystal structure of MgIn2Si.

Cell and atoms, written as CIF:
```
data_MgIn2Si
_chemical_formula_sum 'Mg1 In2 Si1'
_symmetry_space_group_name_H-M 'P 1'
_symmetry_Int_Tables_number 1
_cell_length_a 5.0817
_cell_length_b 5.0817
_cell_length_c 5.0817
_cell_angle_alpha 60.00
_cell_angle_beta 60.00
_cell_angle_gamma 60.00
loop_
_symmetry_equiv_pos_as_xyz
'x,y,z'
loop_
_atom_site_label
_atom_site_fract_x
_atom_site_fract_y
_atom_site_fract_z
_atom_site_occupancy
Mg1 0.0000 0.0000 0.0000 1
In1 0.5000 0.5000 0.5000 1
In2 0.7500 0.7500 0.7500 1
Si1 0.2500 0.2500 0.2500 1
```

Computed properties:
- symmetry = F-43m
- E above lowest polymorph (eV per atom) = 0.1161
- uncorrected formation energy (eV/atom) = 0.232
- magnetization (μB per cell) = 0.00
- density of states at the Fermi level (states/eV/cell) = 2.895